Compound: CaCd4Pb
Source: Alexandria via LeMat-Bulk
Functional: PBE
Structure: optimized geometry

Cell lengths 5.119, 6.608, 9.682 Å; angles 70.05, 90.00, 90.00 degrees
Fractional coordinates of all 12 atoms:
1 Cd 0.750 0.038 0.918
2 Cd 0.250 0.962 0.082
3 Cd 0.750 0.197 0.586
4 Cd 0.250 0.455 0.082
5 Cd 0.250 0.803 0.414
6 Cd 0.750 0.717 0.586
7 Cd 0.250 0.283 0.414
8 Cd 0.750 0.545 0.918
9 Pb 0.250 0.382 0.736
10 Pb 0.750 0.618 0.264
11 Ca 0.750 0.125 0.251
12 Ca 0.250 0.875 0.749

Properties
* electronic total energy: -1.753 eV/atom
* SG: No. 63
* energy above the most stable polymorph in this dataset: 0 meV/atom


Compound: Ca8CdPb2
Source: Alexandria via LeMat-Bulk
Functional: PBE
Structure: optimized geometry

Cell lengths 5.597, 7.587, 9.861 Å; angles 112.62, 106.49, 90.00 degrees
Fractional coordinates of all 11 atoms:
1 Ca 0.639 0.874 0.278
2 Ca 0.186 0.186 0.372
3 Ca 0.000 0.748 0.000
4 Ca 0.639 0.404 0.278
5 Ca 0.361 0.596 0.722
6 Ca 0.814 0.814 0.628
7 Ca 0.000 0.252 0.000
8 Ca 0.361 0.126 0.722
9 Cd 0.500 0.000 0.000
10 Pb 0.812 0.312 0.624
11 Pb 0.188 0.688 0.376

Properties
* electronic total energy: -2.517 eV/atom
* SG: No. 71


Compound: CaCd2Pb6
Source: Alexandria via LeMat-Bulk
Functional: PBE
Structure: optimized geometry

Cell lengths 4.876, 6.126, 10.270 Å; angles 74.93, 76.27, 66.55 degrees
Fractional coordinates of all 9 atoms:
1 Cd 0.336 0.608 0.721
2 Cd 0.664 0.392 0.279
3 Pb 0.675 0.719 0.931
4 Pb 0.325 0.281 0.069
5 Pb 0.666 0.061 0.607
6 Pb 0.998 0.841 0.163
7 Pb 0.002 0.159 0.837
8 Pb 0.334 0.939 0.393
9 Ca 0.000 0.500 0.500

Properties
* electronic total energy: -2.988 eV/atom
* SG: No. 12